i.
{"formula": "CePuAgPb", "functional": "PBE", "state": "optimized geometry", "dos_ef_per_ev_atom": 2.733, "cell": [[4.570, 0.000, 0.000], [0.000, 4.659, 0.000], [0.000, 0.000, 4.815]], "species": ["Ce", "Pu", "Ag", "Pb"], "frac_coords": [[0.000, 0.000, 0.000], [0.500, 0.500, 0.000], [0.500, 0.000, 0.500], [0.000, 0.500, 0.500]]}

***

ii.
{"formula": "CePuAgPb", "functional": "PBE", "state": "optimized geometry", "dos_ef_per_ev_atom": 3.613, "cell": [[7.620, 0.000, 0.000], [0.000, 7.620, 0.000], [0.000, 0.000, 7.620]], "species": ["Ce", "Ce", "Ce", "Ce", "Pu", "Pu", "Pu", "Pu", "Ag", "Ag", "Ag", "Ag", "Pb", "Pb", "Pb", "Pb"], "frac_coords": [[0.000, 0.000, 0.000], [0.000, 0.500, 0.500], [0.500, 0.000, 0.500], [0.500, 0.500, 0.000], [0.000, 0.000, 0.500], [0.000, 0.500, 0.000], [0.500, 0.000, 0.000], [0.500, 0.500, 0.500], [0.250, 0.250, 0.750], [0.250, 0.750, 0.250], [0.750, 0.250, 0.250], [0.750, 0.750, 0.750], [0.250, 0.250, 0.250], [0.250, 0.750, 0.750], [0.750, 0.250, 0.750], [0.750, 0.750, 0.250]]}

***

The least stable of them is ii.

***

i.
{"formula": "CeAg2Pd", "functional": "PBE", "state": "optimized geometry", "dos_ef_per_ev_atom": 1.895, "cell": [[4.348, 0.000, 0.000], [0.000, 9.868, 0.000], [0.000, 0.000, 7.927]], "species": ["Ce", "Ce", "Ce", "Ce", "Ag", "Ag", "Ag", "Ag", "Ag", "Ag", "Ag", "Ag", "Pd", "Pd", "Pd", "Pd"], "frac_coords": [[0.000, 0.069, 0.250], [0.000, 0.931, 0.750], [0.500, 0.431, 0.750], [0.500, 0.569, 0.250], [0.000, 0.363, 0.054], [0.000, 0.363, 0.446], [0.000, 0.637, 0.554], [0.000, 0.637, 0.946], [0.500, 0.137, 0.554], [0.500, 0.137, 0.946], [0.500, 0.863, 0.054], [0.500, 0.863, 0.446], [0.000, 0.220, 0.750], [0.000, 0.780, 0.250], [0.500, 0.280, 0.250], [0.500, 0.720, 0.750]]}

***

ii.
{"formula": "CeAg2Pd", "functional": "PBE", "state": "optimized geometry", "dos_ef_per_ev_atom": 1.671, "cell": [[6.957, 0.000, 0.000], [0.000, 6.957, 0.000], [0.000, 0.000, 6.957]], "species": ["Ce", "Ce", "Ce", "Ce", "Ag", "Ag", "Ag", "Ag", "Ag", "Ag", "Ag", "Ag", "Pd", "Pd", "Pd", "Pd"], "frac_coords": [[0.000, 0.000, 0.000], [0.000, 0.500, 0.500], [0.500, 0.000, 0.500], [0.500, 0.500, 0.000], [0.250, 0.250, 0.250], [0.250, 0.250, 0.750], [0.250, 0.750, 0.250], [0.250, 0.750, 0.750], [0.750, 0.250, 0.250], [0.750, 0.250, 0.750], [0.750, 0.750, 0.250], [0.750, 0.750, 0.750], [0.000, 0.000, 0.500], [0.000, 0.500, 0.000], [0.500, 0.000, 0.000], [0.500, 0.500, 0.500]]}

***

The least stable of them is ii.

***

i.
{"formula": "Ce2AgPd", "functional": "PBE", "state": "optimized geometry", "dos_ef_per_ev_atom": 3.297, "cell": [[4.012, 0.000, 0.000], [-2.006, 3.474, 0.000], [0.000, 0.000, 23.445]], "species": ["Ce", "Ce", "Ce", "Ce", "Ce", "Ce", "Ag", "Ag", "Ag", "Pd", "Pd", "Pd"], "frac_coords": [[0.000, 0.000, 0.242], [0.000, 0.000, 0.758], [0.333, 0.667, 0.425], [0.333, 0.667, 0.909], [0.667, 0.333, 0.091], [0.667, 0.333, 0.575], [0.000, 0.000, 0.000], [0.333, 0.667, 0.667], [0.667, 0.333, 0.333], [0.000, 0.000, 0.500], [0.333, 0.667, 0.167], [0.667, 0.333, 0.833]]}

***

ii.
{"formula": "Ce2AgPd", "functional": "PBE", "state": "optimized geometry", "dos_ef_per_ev_atom": 2.604, "cell": [[3.772, 0.000, 0.000], [0.000, 3.772, 0.000], [0.000, 0.000, 6.733]], "species": ["Ce", "Ce", "Ag", "Pd"], "frac_coords": [[0.000, 0.000, 0.219], [0.000, 0.000, 0.781], [0.500, 0.500, 0.500], [0.500, 0.500, 0.000]]}

***

iii.
{"formula": "Ce2AgPd", "functional": "PBE", "state": "optimized geometry", "dos_ef_per_ev_atom": 3.360, "cell": [[7.287, 0.000, 0.000], [0.000, 7.287, 0.000], [0.000, 0.000, 7.287]], "species": ["Ce", "Ce", "Ce", "Ce", "Ce", "Ce", "Ce", "Ce", "Ag", "Ag", "Ag", "Ag", "Pd", "Pd", "Pd", "Pd"], "frac_coords": [[0.250, 0.250, 0.250], [0.250, 0.250, 0.750], [0.250, 0.750, 0.250], [0.250, 0.750, 0.750], [0.750, 0.250, 0.250], [0.750, 0.250, 0.750], [0.750, 0.750, 0.250], [0.750, 0.750, 0.750], [0.000, 0.000, 0.000], [0.000, 0.500, 0.500], [0.500, 0.000, 0.500], [0.500, 0.500, 0.000], [0.000, 0.000, 0.500], [0.000, 0.500, 0.000], [0.500, 0.000, 0.000], [0.500, 0.500, 0.500]]}

***

The least stable of them is i.